Record 1
DFT (PBE) results for a geometry-optimized Pr4GeIrCl2 structure.

Calculated values
The calculation puts the formation energy from raw total energies at -1174.1 meV per atom.

Geometry as CIF:
```
data_Pr4GeIrCl2
_cell_length_a 7.573
_cell_length_b 4.186
_cell_length_c 7.584
_cell_angle_alpha 90.00
_cell_angle_beta 107.89
_cell_angle_gamma 90.00
_symmetry_space_group_name_H-M 'P 1 2/m 1'
_symmetry_Int_Tables_number 10
loop_
_symmetry_equiv_pos_as_xyz
'x,y,z'
'-x,-y,-z'
'-x,y,-z'
'x,-y,z'
loop_
_atom_site_label
_atom_site_fract_x
_atom_site_fract_y
_atom_site_fract_z
Pr1 0.211 0.000 0.226
Pr2 0.218 0.500 0.752
Ge1 0.000 0.000 0.500
Ir1 0.000 0.500 0.000
Cl1 0.500 0.000 0.000
Cl2 0.500 0.500 0.500
```


Record 2
DFT (PBE) results for a geometry-optimized Rb2GeIrCl structure.

Calculated values
The calculation puts the formation energy from raw total energies at 418.8 meV per atom.

Geometry as CIF:
```
data_Rb2GeIrCl
_cell_length_a 6.767
_cell_length_b 6.767
_cell_length_c 4.351
_cell_angle_alpha 90.00
_cell_angle_beta 90.00
_cell_angle_gamma 90.00
_symmetry_space_group_name_H-M 'P 4/m m m'
_symmetry_Int_Tables_number 123
_symmetry_space_group_name_Hall '-P 4 2'
loop_
_atom_site_label
_atom_site_fract_x
_atom_site_fract_y
_atom_site_fract_z
Rb1 0.000 0.500 0.000
Ge1 0.000 0.000 0.500
Ir1 0.500 0.500 0.000
Cl1 0.500 0.500 0.500
```


Record 3
DFT (PBE) results for a geometry-optimized GeIr2RhCl structure.

Calculated values
The calculation puts the formation energy from raw total energies at 1462.0 meV per atom.

Geometry as CIF:
```
data_GeIr2RhCl
_cell_length_a 4.371
_cell_length_b 4.371
_cell_length_c 4.770
_cell_angle_alpha 90.00
_cell_angle_beta 90.00
_cell_angle_gamma 90.00
_symmetry_space_group_name_H-M 'P 4/m m m'
_symmetry_Int_Tables_number 123
_symmetry_space_group_name_Hall '-P 4 2'
loop_
_atom_site_label
_atom_site_fract_x
_atom_site_fract_y
_atom_site_fract_z
Ge1 0.000 0.000 0.000
Ir1 0.000 0.500 0.500
Rh1 0.500 0.500 0.000
Cl1 0.000 0.000 0.500
```